The following is a DFT calculation (PBE with a Hubbard U) of an optimized crystal structure of Li3MnCoNiO6.

POSCAR file:
```
Li3MnCoNiO6
1.0
5.037 0.074 0.033
-2.508 4.369 0.033
0.861 1.513 4.851
O Li Ni Mn Co
6 3 1 1 1
Direct
0.573 0.925 0.215
0.413 0.059 0.762
0.720 0.724 0.775
0.075 0.427 0.785
0.276 0.280 0.225
0.941 0.587 0.238
0.507 0.493 0.500
0.831 0.169 0.500
0.168 0.832 0.500
0.002 0.998 0.000
0.330 0.670 0.000
0.663 0.337 0.000
```

Output
Calculated total energy ... -5.7584 eV/atom